{
  "formula": "Hf2Nb2Os",
  "functional": "GGA-PBE",
  "state": "relaxed",
  "lattice_angstrom": [[-1.6541, 1.6541, 8.4356], [1.6541, -1.6541, 8.4356], [1.6541, 1.6541, -8.4356]],
  "species": ["Hf", "Hf", "Nb", "Nb", "Os"],
  "fractional_positions": [[0.0949, 0.0949, 0.0000], [0.9051, 0.9051, 0.0000], [0.2944, 0.2944, 0.0000], [0.7056, 0.7056, 0.0000], [0.5000, 0.5000, 0.0000]],
  "space_group": "I4/mmm (139)",
  "e_tot_ev_per_cell": -52.68,
  "volume_a3_per_atom": 18.5,
  "crystal_system": "tetragonal"
}